#P
# GGA-PBE Te2OsW, optimized geometry
# - magnetic moment (μB per formula unit) = 0.00
data_Te2OsW
_chemical_formula_sum 'Te2 Os1 W1'
_cell_length_a 5.1690
_cell_length_b 5.1690
_cell_length_c 5.1690
_cell_angle_alpha 131.09
_cell_angle_beta 131.09
_cell_angle_gamma 71.67
_space_group_name_H-M_alt 'P 1'
_space_group_IT_number 1
_space_group_name_Hall 'P 1'
loop_
_atom_site_label
_atom_site_type_symbol
_atom_site_fract_x
_atom_site_fract_y
_atom_site_fract_z
Os1 Os 0.7500 0.2500 0.5000
Te1 Te 0.0000 0.0000 0.0000
Te2 Te 0.2500 0.7500 0.5000
W1 W 0.5000 0.5000 0.0000



#Q
# GGA-PBE Te2OsW, optimized geometry
# - magnetic moment (μB per formula unit) = 0.00
data_Te2OsW
_chemical_formula_sum 'Te2 Os1 W1'
_cell_length_a 7.9063
_cell_length_b 7.9063
_cell_length_c 7.9063
_cell_angle_alpha 152.82
_cell_angle_beta 150.99
_cell_angle_gamma 40.17
_space_group_name_H-M_alt 'P 1'
_space_group_IT_number 1
_space_group_name_Hall 'P 1'
loop_
_atom_site_label
_atom_site_type_symbol
_atom_site_fract_x
_atom_site_fract_y
_atom_site_fract_z
Os1 Os 0.7500 0.2500 0.5000
Te1 Te 0.8839 0.8839 0.0000
Te2 Te 0.6161 0.6161 0.0000
W1 W 0.2500 0.7500 0.5000



Most stable: #Q. Least stable: #P.



#P
# GGA-PBE Te2OsW, optimized geometry
# - magnetic moment (μB per formula unit) = 0.00
data_Te2OsW
_chemical_formula_sum 'Te2 Os1 W1'
_cell_length_a 3.3358
_cell_length_b 3.3358
_cell_length_c 6.6156
_cell_angle_alpha 90.00
_cell_angle_beta 90.00
_cell_angle_gamma 90.00
_space_group_name_H-M_alt 'P 1'
_space_group_IT_number 1
_space_group_name_Hall 'P 1'
loop_
_atom_site_label
_atom_site_type_symbol
_atom_site_fract_x
_atom_site_fract_y
_atom_site_fract_z
Os1 Os 0.5000 0.5000 0.7500
Te1 Te 0.0000 0.0000 0.0032
Te2 Te 0.0000 0.0000 0.4968
W1 W 0.5000 0.5000 0.2500



#Q
# GGA-PBE Te2OsW, optimized geometry
# - magnetic moment (μB per formula unit) = 0.93
data_Te2OsW
_chemical_formula_sum 'Te4 Os2 W2'
_cell_length_a 6.0391
_cell_length_b 6.0391
_cell_length_c 7.2936
_cell_angle_alpha 65.54
_cell_angle_beta 65.54
_cell_angle_gamma 90.00
_space_group_name_H-M_alt 'P 1'
_space_group_IT_number 1
_space_group_name_Hall 'P 1'
loop_
_atom_site_label
_atom_site_type_symbol
_atom_site_fract_x
_atom_site_fract_y
_atom_site_fract_z
Te1 Te 0.6365 0.1250 0.2500
Te2 Te 0.1135 0.6250 0.2500
Te3 Te 0.3750 0.3635 0.7500
Te4 Te 0.8750 0.8865 0.7500
Os1 Os 0.0000 0.0000 0.0000
Os2 Os 0.7500 0.2500 0.5000
W1 W 0.5000 0.5000 0.0000
W2 W 0.2500 0.7500 0.5000



#R
# GGA-PBE Te2OsW, optimized geometry
# - magnetic moment (μB per formula unit) = 0.00
data_Te2OsW
_chemical_formula_sum 'Te2 Os1 W1'
_cell_length_a 4.3283
_cell_length_b 4.3283
_cell_length_c 6.9296
_cell_angle_alpha 74.09
_cell_angle_beta 74.09
_cell_angle_gamma 53.62
_space_group_name_H-M_alt 'P 1'
_space_group_IT_number 1
_space_group_name_Hall 'P 1'
loop_
_atom_site_label
_atom_site_type_symbol
_atom_site_fract_x
_atom_site_fract_y
_atom_site_fract_z
Os1 Os 0.2321 0.2321 0.3225
Te1 Te 0.9826 0.9826 0.0984
Te2 Te 0.7628 0.7628 0.6622
W1 W 0.5224 0.5224 0.4169



Most stable: #R. Least stable: #Q.



#P
# GGA-PBE TeOsW, optimized geometry
# - magnetic moment (μB per formula unit) = 0.00
data_TeOsW
_chemical_formula_sum 'Te1 Os1 W1'
_cell_length_a 3.0377
_cell_length_b 3.0377
_cell_length_c 6.6532
_cell_angle_alpha 90.00
_cell_angle_beta 90.00
_cell_angle_gamma 120.00
_space_group_name_H-M_alt 'P 1'
_space_group_IT_number 1
_space_group_name_Hall 'P 1'
loop_
_atom_site_label
_atom_site_type_symbol
_atom_site_fract_x
_atom_site_fract_y
_atom_site_fract_z
Os1 Os 0.0000 0.0000 0.9824
Te1 Te 0.6667 0.3333 0.3344
W1 W 0.3333 0.6667 0.6832



#Q
# GGA-PBE TeOsW, optimized geometry
# - magnetic moment (μB per formula unit) = 0.00
data_TeOsW
_chemical_formula_sum 'Te1 Os1 W1'
_cell_length_a 7.5851
_cell_length_b 7.3452
_cell_length_c 2.9427
_cell_angle_alpha 83.25
_cell_angle_beta 74.09
_cell_angle_gamma 22.66
_space_group_name_H-M_alt 'P 1'
_space_group_IT_number 1
_space_group_name_Hall 'P 1'
loop_
_atom_site_label
_atom_site_type_symbol
_atom_site_fract_x
_atom_site_fract_y
_atom_site_fract_z
Os1 Os 0.0166 0.0166 0.9834
Te1 Te 0.3317 0.3317 0.6683
W1 W 0.6517 0.6517 0.3483



Most stable: #P. Least stable: #Q.



#P
# GGA-PBE YTe2Os, optimized geometry
# - magnetic moment (μB per formula unit) = 0.00
data_YTe2Os
_chemical_formula_sum 'Y1 Te2 Os1'
_cell_length_a 4.2281
_cell_length_b 4.9598
_cell_length_c 4.9635
_cell_angle_alpha 75.83
_cell_angle_beta 90.00
_cell_angle_gamma 90.00
_space_group_name_H-M_alt 'P 1'
_space_group_IT_number 1
_space_group_name_Hall 'P 1'
loop_
_atom_site_label
_atom_site_type_symbol
_atom_site_fract_x
_atom_site_fract_y
_atom_site_fract_z
Os1 Os 0.5000 0.7500 0.7500
Te1 Te 0.0000 0.9523 0.9522
Te2 Te 0.0000 0.5477 0.5478
Y1 Y 0.5000 0.2500 0.2500



#Q
# GGA-PBE YTe2Os, optimized geometry
# - magnetic moment (μB per formula unit) = 0.00
data_YTe2Os
_chemical_formula_sum 'Y1 Te2 Os1'
_cell_length_a 5.8534
_cell_length_b 5.8534
_cell_length_c 5.8534
_cell_angle_alpha 137.63
_cell_angle_beta 137.63
_cell_angle_gamma 61.47
_space_group_name_H-M_alt 'P 1'
_space_group_IT_number 1
_space_group_name_Hall 'P 1'
loop_
_atom_site_label
_atom_site_type_symbol
_atom_site_fract_x
_atom_site_fract_y
_atom_site_fract_z
Os1 Os 0.7500 0.2500 0.5000
Te1 Te 0.0000 0.0000 0.0000
Te2 Te 0.2500 0.7500 0.5000
Y1 Y 0.5000 0.5000 0.0000



Most stable: #P. Least stable: #Q.



#P
# GGA-PBE ZnTeOs2, optimized geometry
# - magnetic moment (μB per formula unit) = 0.00
data_ZnTeOs2
_chemical_formula_sum 'Zn2 Te2 Os4'
_cell_length_a 5.8104
_cell_length_b 5.8104
_cell_length_c 6.9061
_cell_angle_alpha 65.12
_cell_angle_beta 65.12
_cell_angle_gamma 90.00
_space_group_name_H-M_alt 'P 1'
_space_group_IT_number 1
_space_group_name_Hall 'P 1'
loop_
_atom_site_label
_atom_site_type_symbol
_atom_site_fract_x
_atom_site_fract_y
_atom_site_fract_z
Zn1 Zn 0.5000 0.5000 0.0000
Zn2 Zn 0.2500 0.7500 0.5000
Te1 Te 0.0000 0.0000 0.0000
Te2 Te 0.7500 0.2500 0.5000
Os1 Os 0.6137 0.1250 0.2500
Os2 Os 0.1363 0.6250 0.2500
Os3 Os 0.3750 0.3863 0.7500
Os4 Os 0.8750 0.8637 0.7500



#Q
# GGA-PBE ZnTeOs2, optimized geometry
# - magnetic moment (μB per formula unit) = 0.00
data_ZnTeOs2
_chemical_formula_sum 'Zn1 Te1 Os2'
_cell_length_a 2.8751
_cell_length_b 3.7235
_cell_length_c 7.1017
_cell_angle_alpha 90.00
_cell_angle_beta 90.00
_cell_angle_gamma 90.00
_space_group_name_H-M_alt 'P 1'
_space_group_IT_number 1
_space_group_name_Hall 'P 1'
loop_
_atom_site_label
_atom_site_type_symbol
_atom_site_fract_x
_atom_site_fract_y
_atom_site_fract_z
Os1 Os 0.0000 0.0000 0.0301
Os2 Os 0.5000 0.5000 0.2049
Te1 Te 0.0000 0.0000 0.4357
Zn1 Zn 0.5000 0.5000 0.8293



Most stable: #Q. Least stable: #P.



#P
# GGA-PBE ZnTeOs2, optimized geometry
# - magnetic moment (μB per formula unit) = 0.00
data_ZnTeOs2
_chemical_formula_sum 'Zn1 Te1 Os2'
_cell_length_a 4.3748
_cell_length_b 2.9282
_cell_length_c 5.5828
_cell_angle_alpha 101.93
_cell_angle_beta 90.00
_cell_angle_gamma 90.00
_space_group_name_H-M_alt 'P 1'
_space_group_IT_number 1
_space_group_name_Hall 'P 1'
loop_
_atom_site_label
_atom_site_type_symbol
_atom_site_fract_x
_atom_site_fract_y
_atom_site_fract_z
Os1 Os 0.0000 0.1099 0.9503
Os2 Os 0.0000 0.3901 0.5497
Te1 Te 0.5000 0.2500 0.2500
Zn1 Zn 0.5000 0.7500 0.7500



#Q
# GGA-PBE ZnTeOs2, optimized geometry
# - magnetic moment (μB per formula unit) = 0.00
data_ZnTeOs2
_chemical_formula_sum 'Zn1 Te1 Os2'
_cell_length_a 2.9065
_cell_length_b 2.9065
_cell_length_c 8.3769
_cell_angle_alpha 90.00
_cell_angle_beta 90.00
_cell_angle_gamma 90.00
_space_group_name_H-M_alt 'P 1'
_space_group_IT_number 1
_space_group_name_Hall 'P 1'
loop_
_atom_site_label
_atom_site_type_symbol
_atom_site_fract_x
_atom_site_fract_y
_atom_site_fract_z
Os1 Os 0.0000 0.0000 0.0130
Os2 Os 0.5000 0.5000 0.2082
Te1 Te 0.0000 0.0000 0.4769
Zn1 Zn 0.5000 0.5000 0.8019



Most stable: #Q. Least stable: #P.